! Er6Zn23, optimized geometry, DFT GGA-PBE; values from VASP
&SYSTEM
  ibrav = 0, nat = 29, ntyp = 2
/
ATOMIC_SPECIES
Er 167.26 Er.upf
Zn 65.41 Zn.upf
ATOMIC_POSITIONS crystal
Er 0.204 0.204 0.796
Er 0.204 0.796 0.204
Er 0.204 0.796 0.796
Er 0.796 0.204 0.204
Er 0.796 0.204 0.796
Er 0.796 0.796 0.204
Zn 0.000 0.000 0.500
Zn 0.000 0.500 0.000
Zn 0.000 0.500 0.500
Zn 0.132 0.623 0.623
Zn 0.170 0.170 0.170
Zn 0.170 0.170 0.489
Zn 0.170 0.489 0.170
Zn 0.377 0.377 0.377
Zn 0.377 0.377 0.868
Zn 0.377 0.868 0.377
Zn 0.489 0.170 0.170
Zn 0.500 0.000 0.000
Zn 0.500 0.000 0.500
Zn 0.500 0.500 0.000
Zn 0.500 0.500 0.500
Zn 0.511 0.830 0.830
Zn 0.623 0.132 0.623
Zn 0.623 0.623 0.132
Zn 0.623 0.623 0.623
Zn 0.830 0.511 0.830
Zn 0.830 0.830 0.511
Zn 0.830 0.830 0.830
Zn 0.868 0.377 0.377
CELL_PARAMETERS angstrom
0.000 6.290 6.290
6.290 0.000 6.290
6.290 6.290 0.000
! * M_tot: 0.00 μB/f.u.
! * uncorrected energy: -65.30 eV per cell
! * space group: Fm-3m, No. 225

=====

! ErZn, optimized geometry, DFT GGA-PBE; values from VASP
&SYSTEM
  ibrav = 0, nat = 2, ntyp = 2
/
ATOMIC_SPECIES
Er 167.26 Er.upf
Zn 65.41 Zn.upf
ATOMIC_POSITIONS crystal
Er 0.000 0.000 0.000
Zn 0.750 0.750 0.750
CELL_PARAMETERS angstrom
0.000 3.191 3.191
3.191 0.000 3.191
3.191 3.191 0.000
! * M_tot: 0.00 μB/f.u.
! * uncorrected energy: -4.56 eV per cell
! * space group: F-43m, No. 216

=====

! ErZn2, optimized geometry, DFT GGA-PBE; values from VASP
&SYSTEM
  ibrav = 0, nat = 24, ntyp = 2
/
ATOMIC_SPECIES
Er 167.26 Er.upf
Zn 65.41 Zn.upf
ATOMIC_POSITIONS crystal
Er 0.044 0.250 0.273
Er 0.255 0.250 0.073
Er 0.306 0.750 0.614
Er 0.398 0.750 0.283
Er 0.602 0.250 0.717
Er 0.694 0.250 0.386
Er 0.745 0.750 0.927
Er 0.956 0.750 0.727
Zn 0.042 0.750 0.136
Zn 0.099 0.250 0.513
Zn 0.119 0.750 0.951
Zn 0.131 0.750 0.393
Zn 0.224 0.250 0.755
Zn 0.356 0.750 0.846
Zn 0.391 0.250 0.466
Zn 0.478 0.750 0.060
Zn 0.522 0.250 0.940
Zn 0.609 0.750 0.534
Zn 0.644 0.250 0.154
Zn 0.776 0.750 0.245
Zn 0.869 0.250 0.607
Zn 0.881 0.250 0.049
Zn 0.901 0.750 0.487
Zn 0.958 0.250 0.864
CELL_PARAMETERS angstrom
8.118 0.000 0.000
0.000 4.613 0.000
-3.945 0.000 12.451
! * M_tot: 0.00 μB/f.u.
! * uncorrected energy: -62.33 eV per cell
! * space group: P2_1/m, No. 11

=====

! ErZn2, optimized geometry, DFT GGA-PBE; values from VASP
&SYSTEM
  ibrav = 0, nat = 6, ntyp = 2
/
ATOMIC_SPECIES
Er 167.26 Er.upf
Zn 65.41 Zn.upf
ATOMIC_POSITIONS crystal
Er 0.125 0.125 0.125
Er 0.875 0.875 0.875
Zn 0.000 0.500 0.500
Zn 0.500 0.000 0.500
Zn 0.500 0.500 0.000
Zn 0.500 0.500 0.500
CELL_PARAMETERS angstrom
0.000 3.822 3.822
3.822 0.000 3.822
3.822 3.822 0.000
! * M_tot: 0.00 μB/f.u.
! * uncorrected energy: -16.22 eV per cell
! * space group: Fd-3m, No. 227

=====

! ErZn, optimized geometry, DFT GGA-PBE; values from VASP
&SYSTEM
  ibrav = 0, nat = 12, ntyp = 2
/
ATOMIC_SPECIES
Er 167.26 Er.upf
Zn 65.41 Zn.upf
ATOMIC_POSITIONS crystal
Er 0.000 0.030 0.000
Er 0.000 0.348 0.670
Er 0.000 0.652 0.170
Er 0.000 0.970 0.500
Er 0.500 0.212 0.289
Er 0.500 0.788 0.789
Zn 0.000 0.345 0.158
Zn 0.000 0.655 0.658
Zn 0.500 0.137 0.755
Zn 0.500 0.466 0.953
Zn 0.500 0.534 0.453
Zn 0.500 0.863 0.255
CELL_PARAMETERS angstrom
4.761 0.000 0.000
0.000 9.092 0.000
0.000 0.000 6.155
! * M_tot: 0.01 μB/f.u.
! * uncorrected energy: -37.63 eV per cell
! * space group: Pmc2_1, No. 26

=====

! ErZn2, optimized geometry, DFT GGA-PBE; values from VASP
&SYSTEM
  ibrav = 0, nat = 6, ntyp = 2
/
ATOMIC_SPECIES
Er 167.26 Er.upf
Zn 65.41 Zn.upf
ATOMIC_POSITIONS crystal
Er 0.280 0.030 0.250
Er 0.720 0.970 0.750
Zn 0.122 0.666 0.456
Zn 0.290 0.334 0.956
Zn 0.710 0.666 0.044
Zn 0.878 0.334 0.544
CELL_PARAMETERS angstrom
-2.215 3.483 3.781
2.215 -3.483 3.781
2.215 3.483 -3.781
! * M_tot: 0.00 μB/f.u.
! * uncorrected energy: -16.54 eV per cell
! * space group: Imma, No. 74

=====

Q: Look up the uncorrected energy of the second one.
A: -4.56 eV per cell